(1)
The following is a PBE calculation of a relaxed structure of CdTePdO, from OQMD via LeMat-Bulk.

Polymorph energy (0 for the lowest one): 0.0 meV/atom

POSCAR file:
```
CdTePdO
1.0
-0.6409 -1.3191 -3.5389
2.7124 -6.2437 1.8362
-10.0531 -3.4532 3.1079
Cd O Pd Te
4 4 4 4
direct
0.7410 0.4618 0.0427 Cd
0.2590 0.9618 0.4573 Cd
0.7590 0.5382 0.5427 Cd
0.2410 0.0382 0.9573 Cd
0.7382 0.1408 0.0713 O
0.2618 0.6408 0.4287 O
0.7618 0.8592 0.5713 O
0.2382 0.3592 0.9287 O
0.2426 0.7294 0.1238 Pd
0.7574 0.2294 0.3762 Pd
0.2574 0.2706 0.6238 Pd
0.7426 0.7706 0.8762 Pd
0.7443 0.9523 0.2071 Te
0.2557 0.4523 0.2929 Te
0.7557 0.0477 0.7071 Te
0.2443 0.5477 0.7929 Te
```

=====

(2)
The following is a PBE calculation of a relaxed structure of Sr2Cu, from OQMD via LeMat-Bulk.

Electronic total energy: -1.4878 eV per atom

POSCAR file:
```
Sr2Cu
1.0
0.0000 4.9772 4.9772
4.9772 0.0000 4.9772
4.9772 4.9772 0.0000
Cu Sr
2 4
direct
0.0000 0.0000 0.0000 Cu
0.2500 0.2500 0.2500 Cu
0.6250 0.6250 0.1250 Sr
0.6250 0.1250 0.6250 Sr
0.1250 0.6250 0.6250 Sr
0.6250 0.6250 0.6250 Sr
```

=====

(3)
The following is a PBE calculation of a relaxed structure of KSnTe3Au, from OQMD via LeMat-Bulk.

Polymorph energy (0 for the lowest one): 21.0 meV/atom

POSCAR file:
```
KSnTe3Au
1.0
-4.9151 -7.1405 2.6651
2.5378 -2.6656 -2.4615
7.9492 1.0816 7.0244
Au K Sn Te
2 2 2 6
direct
0.5453 0.2500 0.0909 Au
0.4547 0.7500 0.9091 Au
0.2691 0.7500 0.1998 K
0.7309 0.2500 0.8002 K
0.8212 0.7500 0.3667 Sn
0.1788 0.2500 0.6333 Sn
0.7530 0.7500 0.0759 Te
0.0532 0.2500 0.3493 Te
0.5923 0.2500 0.3578 Te
0.4077 0.7500 0.6422 Te
0.9468 0.7500 0.6507 Te
0.2470 0.2500 0.9241 Te
```

=====

(4)
The following is a PBE calculation of a relaxed structure of Cu2Ag3, from OQMD via LeMat-Bulk.

Polymorph energy (0 for the lowest one): 68.9 meV/atom

POSCAR file:
```
Cu2Ag3
1.0
3.5773 -3.8040 10.1989
3.7386 -1.0467 10.7802
1.2974 -2.4209 11.1239
Ag Cu
3 2
direct
0.0000 0.0000 0.0000 Ag
0.2031 0.2031 0.2031 Ag
0.7969 0.7969 0.7969 Ag
0.3986 0.3986 0.3986 Cu
0.6014 0.6014 0.6014 Cu
```

=====

(5)
The following is a PBE calculation of a relaxed structure of Fe3C, from OQMD via LeMat-Bulk.

Electronic total energy: -8.4172 eV per atom

POSCAR file:
```
Fe3C
1.0
4.6563 0.0000 0.0000
0.0000 5.0251 0.0000
0.0000 0.0000 7.0172
C Fe
4 12
direct
0.0000 0.0000 0.0000 C
0.5000 0.5000 0.0000 C
0.0000 0.0000 0.5000 C
0.5000 0.5000 0.5000 C
0.3479 0.1676 0.0771 Fe
0.1521 0.6676 0.0771 Fe
0.8409 0.0521 0.2500 Fe
0.6591 0.5521 0.2500 Fe
0.3479 0.1676 0.4229 Fe
0.1521 0.6676 0.4229 Fe
0.8479 0.3324 0.5771 Fe
0.6521 0.8324 0.5771 Fe
0.3409 0.4479 0.7500 Fe
0.1591 0.9479 0.7500 Fe
0.8479 0.3324 0.9229 Fe
0.6521 0.8324 0.9229 Fe
```

=====

(6)
The following is a PBE calculation of a relaxed structure of SmHfPO, from OQMD via LeMat-Bulk.

Polymorph energy (0 for the lowest one): 543.9 meV/atom

POSCAR file:
```
SmHfPO
1.0
2.9122 -2.9122 0.0000
2.9122 2.9122 0.0000
0.0000 0.0000 8.1222
Hf O P Sm
2 2 2 2
direct
0.2500 0.2500 0.1015 Hf
0.7500 0.7500 0.8985 Hf
0.7500 0.2500 0.0000 O
0.2500 0.7500 0.0000 O
0.7500 0.7500 0.2555 P
0.2500 0.2500 0.7445 P
0.7500 0.2500 0.5000 Sm
0.2500 0.7500 0.5000 Sm
```

=====

(7)
The following is a PBE calculation of a relaxed structure of LiH12AuC4S4O12, from OQMD via LeMat-Bulk.

Electronic total energy: -5.3859 eV per atom

POSCAR file:
```
LiH12AuC4S4O12
1.0
0.5709 -7.8391 -1.0620
-6.7658 2.8068 -3.0416
6.0865 3.5103 -3.6795
Au C H Li O S
1 4 12 1 12 4
direct
0.0000 0.0000 0.0000 Au
0.8583 0.4628 0.1314 C
0.5372 0.6686 0.3955 C
0.2731 0.1417 0.6045 C
0.3314 0.7269 0.8686 C
0.6964 0.3832 0.0963 H
0.9057 0.6137 0.1379 H
0.9613 0.4789 0.2737 H
0.3863 0.5243 0.2920 H
0.6168 0.7131 0.3132 H
0.5211 0.7948 0.4824 H
0.3124 0.0387 0.5176 H
0.3999 0.3036 0.6868 H
0.2323 0.0943 0.7080 H
0.2052 0.6876 0.7263 H
0.4757 0.7677 0.8621 H
0.2869 0.6001 0.9037 H
0.7500 0.2500 0.5000 Li
0.4061 0.1096 0.0118 O
0.1725 0.8741 0.0810 O
0.5365 0.9937 0.2560 O
0.8904 0.9022 0.2965 O
0.1259 0.2069 0.2984 O
0.7195 0.4635 0.4572 O
0.0063 0.2623 0.5428 O
0.9086 0.8275 0.7016 O
0.6057 0.5939 0.7035 O
0.7377 0.2805 0.7440 O
0.7931 0.0914 0.9190 O
0.0978 0.3943 0.9882 O
0.3752 0.9471 0.0657 S
0.0529 0.1186 0.4281 S
0.6905 0.6248 0.5719 S
0.8814 0.3095 0.9343 S
```

=====

(8)
The following is a PBE calculation of a relaxed structure of LaPrCo, from OQMD via LeMat-Bulk.

Polymorph energy (0 for the lowest one): 0.0 meV/atom

POSCAR file:
```
LaPrCo
1.0
0.0000 3.3783 3.3783
3.3783 0.0000 3.3783
3.3783 3.3783 0.0000
Co La Pr
1 1 1
direct
0.2500 0.2500 0.2500 Co
0.7500 0.7500 0.7500 La
0.0000 0.0000 0.0000 Pr
```

=====

(9)
The following is a PBE calculation of a relaxed structure of Li4Sb2PdAu, from OQMD via LeMat-Bulk.

Electronic total energy: -3.6539 eV per atom

POSCAR file:
```
Li4Sb2PdAu
1.0
4.5449 0.0000 0.0000
0.0000 4.5449 0.0000
0.0000 0.0000 6.4378
Au Li Pd Sb
1 4 1 2
direct
0.0000 0.0000 0.0000 Au
0.5000 0.5000 0.0000 Li
0.5000 0.0000 0.2520 Li
0.0000 0.0000 0.5000 Li
0.0000 0.5000 0.7480 Li
0.5000 0.5000 0.5000 Pd
0.0000 0.5000 0.2610 Sb
0.5000 0.0000 0.7390 Sb
```

=====

(10)
The following is a PBE calculation of a relaxed structure of Na2Nb, from OQMD via LeMat-Bulk.

Polymorph energy (0 for the lowest one): 770.4 meV/atom

POSCAR file:
```
Na2Nb
1.0
-2.7613 0.1273 4.4439
-5.1669 -0.8249 -0.1053
-1.9848 -4.4214 1.9750
Na Nb
2 1
direct
0.2500 0.2500 0.2500 Na
0.7500 0.7500 0.7500 Na
0.0000 0.0000 0.0000 Nb
```

=====

(11)
The following is a PBE calculation of a relaxed structure of NbAsOsO, from OQMD via LeMat-Bulk.

Polymorph energy (0 for the lowest one): 7.2 meV/atom

POSCAR file:
```
NbAsOsO
1.0
-2.1832 -3.4853 -0.1585
0.9963 -0.4435 -3.9685
5.2359 -3.3566 1.6896
As Nb O Os
2 2 2 2
direct
0.0000 0.5000 0.2920 As
0.5000 0.0000 0.7080 As
0.5000 0.0000 0.1351 Nb
0.0000 0.5000 0.8649 Nb
0.0000 0.0000 0.0000 O
0.5000 0.5000 0.0000 O
0.0000 0.0000 0.5000 Os
0.5000 0.5000 0.5000 Os
```

=====

(12)
The following is a PBE calculation of a relaxed structure of NbIr6W, from OQMD via LeMat-Bulk.

Electronic total energy: -10.0061 eV per atom

POSCAR file:
```
NbIr6W
1.0
-3.4513 -0.7255 -4.3079
-1.0804 -2.4581 4.8772
-2.3414 3.5612 1.2761
Ir Nb W
6 1 1
direct
0.1696 0.3393 0.0000 Ir
0.1696 0.8304 0.0000 Ir
0.6607 0.8304 0.0000 Ir
0.0005 0.5002 0.5000 Ir
0.4998 0.5002 0.5000 Ir
0.4998 0.9995 0.5000 Ir
0.0000 0.0000 0.5000 Nb
0.6667 0.3333 0.0000 W
```

=====

(13)
The following is a PBE calculation of a relaxed structure of NdSi2OsAu, from OQMD via LeMat-Bulk.

Electronic total energy: -6.5425 eV per atom

POSCAR file:
```
NdSi2OsAu
1.0
-3.8833 3.0423 3.3844
-5.6002 1.0186 -1.8411
3.8743 -4.5328 0.4825
Au Nd Os Si
1 1 1 2
direct
0.2500 0.7500 0.5000 Au
0.0000 0.0000 0.0000 Nd
0.7500 0.2500 0.5000 Os
0.3838 0.3838 0.0000 Si
0.6162 0.6162 0.0000 Si
```

=====

(14)
The following is a PBE calculation of a relaxed structure of BaHfBeNi, from OQMD via LeMat-Bulk.

Polymorph energy (0 for the lowest one): 200.4 meV/atom

POSCAR file:
```
BaHfBeNi
1.0
-0.7665 -4.7010 -0.1178
-4.3723 -1.6796 -0.8734
-0.9397 -2.1575 -4.1428
Ba Be Hf Ni
1 1 1 1
direct
0.2500 0.2500 0.2500 Ba
0.7500 0.7500 0.7500 Be
0.0000 0.0000 0.0000 Hf
0.5000 0.5000 0.5000 Ni
```

=====

(15)
The following is a PBE calculation of a relaxed structure of TaBe2Sb, from OQMD via LeMat-Bulk.

Electronic total energy: -5.0270 eV per atom

POSCAR file:
```
TaBe2Sb
1.0
0.0000 3.1793 3.1793
3.1793 0.0000 3.1793
3.1793 3.1793 0.0000
Be Sb Ta
2 1 1
direct
0.0000 0.0000 0.0000 Be
0.7500 0.7500 0.7500 Be
0.5000 0.5000 0.5000 Sb
0.2500 0.2500 0.2500 Ta
```

=====

(16)
The following is a PBE calculation of a relaxed structure of NaAlFeTe, from OQMD via LeMat-Bulk.

Polymorph energy (0 for the lowest one): 0.0 meV/atom

POSCAR file:
```
NaAlFeTe
1.0
0.0000 3.3788 3.3788
3.3788 0.0000 3.3788
3.3788 3.3788 0.0000
Al Fe Na Te
1 1 1 1
direct
0.0000 0.0000 0.0000 Al
0.2500 0.2500 0.2500 Fe
0.7500 0.7500 0.7500 Na
0.5000 0.5000 0.5000 Te
```

=====

(17)
The following is a PBE calculation of a relaxed structure of DySiOs, from OQMD via LeMat-Bulk.

Electronic total energy: -7.1507 eV per atom

POSCAR file:
```
DySiOs
1.0
3.6326 1.5257 2.0253
-0.2310 1.4194 4.1902
1.8826 -2.3573 3.2442
Dy Os Si
1 1 1
direct
0.2500 0.2500 0.2500 Dy
0.0000 0.0000 0.0000 Os
0.7500 0.7500 0.7500 Si
```

=====

(18)
The following is a PBE calculation of a relaxed structure of La8In3Co2, from OQMD via LeMat-Bulk.

Electronic total energy: -5.0810 eV per atom

POSCAR file:
```
La8In3Co2
1.0
-3.7810 -9.5198 -0.6840
7.5123 -3.4061 5.8796
-4.0962 1.2009 5.9293
Co In La
4 6 16
direct
0.0000 0.6268 0.0482 Co
0.0000 0.7706 0.3402 Co
0.5000 0.3732 0.5482 Co
0.5000 0.2294 0.8402 Co
0.5000 0.6656 0.0216 In
0.2362 0.8520 0.4949 In
0.7638 0.8520 0.4949 In
0.0000 0.3344 0.5216 In
0.2638 0.1480 0.9949 In
0.7362 0.1480 0.9949 In
0.2053 0.8117 0.0128 La
0.7947 0.8117 0.0128 La
0.5000 0.3420 0.1468 La
0.5000 0.9653 0.2247 La
0.0000 0.0415 0.2685 La
0.1997 0.5461 0.2805 La
0.8003 0.5461 0.2805 La
0.5000 0.6521 0.4966 La
0.2947 0.1883 0.5128 La
0.7053 0.1883 0.5128 La
0.0000 0.6580 0.6468 La
0.0000 0.0347 0.7247 La
0.5000 0.9585 0.7685 La
0.3003 0.4539 0.7805 La
0.6997 0.4539 0.7805 La
0.0000 0.3479 0.9966 La
```

=====

(19)
The following is a PBE calculation of a relaxed structure of RbBaTmTe3, from OQMD via LeMat-Bulk.

Polymorph energy (0 for the lowest one): 197.8 meV/atom

POSCAR file:
```
RbBaTmTe3
1.0
2.3052 -11.3366 0.0000
2.3052 11.3366 0.0000
0.0000 0.0000 13.2710
Ba Rb Te Tm
2 2 6 2
direct
0.0945 0.9055 0.2500 Ba
0.9055 0.0945 0.7500 Ba
0.8704 0.1296 0.2500 Rb
0.1296 0.8704 0.7500 Rb
0.0917 0.9083 0.0017 Te
0.4911 0.5089 0.2500 Te
0.0917 0.9083 0.4983 Te
0.9083 0.0917 0.5017 Te
0.5089 0.4911 0.7500 Te
0.9083 0.0917 0.9983 Te
0.5000 0.5000 0.0000 Tm
0.5000 0.5000 0.5000 Tm
```

=====

(20)
The following is a PBE calculation of a relaxed structure of In2CoSb, from OQMD via LeMat-Bulk.

Electronic total energy: -3.7144 eV per atom

POSCAR file:
```
In2CoSb
1.0
0.0000 3.4885 3.4885
3.4885 0.0000 3.4885
3.4885 3.4885 0.0000
Co In Sb
1 2 1
direct
0.2500 0.2500 0.2500 Co
0.0000 0.0000 0.0000 In
0.7500 0.7500 0.7500 In
0.5000 0.5000 0.5000 Sb
```